Compound: SrMgCoP2O8
Source: the Alexandria database
Functional: SCAN
Structure: single point on PBEsol structure

```
SrMgCoP2O8
1.0
5.523 0.000 0.000
-0.845 6.511 0.000
-1.955 -3.367 8.331
Sr Mg Co P O
2 2 2 4 16
direct
0.233 0.205 0.440
0.767 0.795 0.560
0.497 0.580 0.848
0.503 0.420 0.152
0.110 0.878 0.052
0.890 0.122 0.948
0.112 0.577 0.257
0.356 0.028 0.798
0.644 0.972 0.202
0.888 0.423 0.743
0.121 0.405 0.094
0.128 0.938 0.854
0.138 0.477 0.700
0.150 0.810 0.252
0.255 0.998 0.623
0.347 0.558 0.375
0.445 0.118 0.184
0.483 0.272 0.913
0.517 0.728 0.087
0.555 0.882 0.816
0.653 0.442 0.625
0.745 0.002 0.377
0.850 0.190 0.748
0.862 0.523 0.300
0.872 0.062 0.146
0.879 0.595 0.906
```

Calculated values
Formation energy without anion corrections = -2.6831 eV per atom
Symmetry = No. 2


Compound: KMg2Mn
Source: the Alexandria database
Functional: SCAN
Structure: single point on PBEsol structure

```
KMg2Mn
1.0
4.681 -1.527 0.000
4.681 1.527 0.000
-0.619 0.000 7.723
K Mg Mn
1 2 1
direct
0.000 0.000 0.000
0.232 0.232 0.667
0.768 0.768 0.333
0.500 0.500 0.500
```

Calculated values
Fermi-level density of states = 2.5 states/eV/cell
Formation enthalpy at 0 K = 0.31 eV/atom
Symmetry = No. 12


Compound: Li2HfBi
Source: the Alexandria database
Functional: SCAN
Structure: single point on PBEsol structure

```
Li2HfBi
1.0
-2.054 2.054 10.803
2.054 -2.054 10.803
2.054 2.054 -10.803
Li Hf Bi
4 2 2
direct
0.123 0.625 0.998
0.375 0.373 0.498
0.627 0.125 0.002
0.875 0.877 0.502
0.000 0.000 0.000
0.750 0.250 0.500
0.250 0.750 0.500
0.500 0.500 0.000
```

Calculated values
Fermi-level density of states = 2.9 states/eV/cell
Formation enthalpy at 0 K = 0.07 eV/atom
Symmetry = No. 122


Compound: Na13Ca7S12O48F3
Source: the Alexandria database
Functional: SCAN
Structure: single point on PBEsol structure

```
Na13Ca7S12O48F3
1.0
9.377 0.000 0.000
0.000 6.872 0.000
-0.012 0.000 16.270
Na Ca S O F
13 7 12 48 3
direct
0.000 0.000 0.000
0.015 0.000 0.275
0.135 0.252 0.800
0.135 0.748 0.800
0.146 0.242 0.464
0.146 0.758 0.464
0.432 0.000 0.126
0.509 0.000 0.511
0.642 0.247 0.302
0.642 0.753 0.302
0.647 0.243 0.965
0.647 0.757 0.965
0.767 0.500 0.752
0.261 0.500 0.007
0.269 0.500 0.253
0.395 0.500 0.636
0.521 0.000 0.758
0.754 0.500 0.512
0.876 0.000 0.628
0.902 0.500 0.136
0.022 0.500 0.619
0.257 0.000 0.645
0.313 0.000 0.938
0.347 0.000 0.312
0.430 0.500 0.451
0.468 0.500 0.828
0.522 0.500 0.120
0.780 0.000 0.145
0.810 0.000 0.442
0.851 0.000 0.811
0.932 0.500 0.950
0.971 0.500 0.329
0.045 0.500 0.709
0.057 0.327 0.304
0.057 0.673 0.304
0.065 0.500 0.900
0.115 0.000 0.685
0.161 0.500 0.575
0.223 0.000 0.368
0.233 0.174 0.968
0.233 0.826 0.968
0.243 0.000 0.555
0.304 0.500 0.395
0.314 0.000 0.847
0.324 0.500 0.790
0.339 0.173 0.675
0.339 0.827 0.675
0.343 0.174 0.256
0.343 0.826 0.256
0.424 0.326 0.505
0.424 0.674 0.505
0.442 0.327 0.090
0.442 0.673 0.090
0.460 0.500 0.919
0.461 0.000 0.970
0.483 0.000 0.358
0.529 0.500 0.211
0.548 0.325 0.800
0.548 0.675 0.800
0.564 0.500 0.402
0.647 0.000 0.194
0.667 0.500 0.084
0.720 0.000 0.863
0.731 0.174 0.473
0.731 0.826 0.473
0.747 0.000 0.056
0.803 0.500 0.899
0.812 0.000 0.351
0.831 0.500 0.287
0.851 0.174 0.756
0.851 0.826 0.756
0.868 0.173 0.168
0.868 0.827 0.168
0.932 0.327 0.006
0.932 0.673 0.006
0.938 0.327 0.592
0.938 0.673 0.592
0.953 0.500 0.419
0.956 0.000 0.477
0.981 0.000 0.862
0.146 0.500 0.132
0.631 0.500 0.628
0.639 0.000 0.640
```

Calculated values
Fermi-level density of states = 0.0 states/eV/cell
Formation energy without anion corrections = -2.3362 eV per atom
Symmetry = No. 6


Compound: ZnSe3O
Source: the Alexandria database
Functional: SCAN
Structure: single point on PBEsol structure

```
ZnSe3O
1.0
4.433 0.000 0.000
0.000 4.433 0.000
0.000 0.000 4.433
Zn Se O
1 3 1
direct
0.000 0.000 0.000
0.000 0.500 0.500
0.500 0.000 0.500
0.500 0.500 0.000
0.500 0.500 0.500
```

Calculated values
Fermi-level density of states = 3.3 states/eV/cell
Formation energy without anion corrections = 0.5101 eV per atom
Symmetry = No. 221


Compound: LiCa2Ta
Source: the Alexandria database
Functional: SCAN
Structure: single point on PBEsol structure

```
LiCa2Ta
1.0
3.181 0.000 0.000
0.000 4.392 0.000
0.000 0.000 7.443
Li Ca Ta
1 2 1
direct
0.000 0.000 0.000
0.500 0.500 0.264
0.500 0.500 0.736
0.000 0.000 0.500
```

Calculated values
Fermi-level density of states = 3.1 states/eV/cell
Formation enthalpy at 0 K = 0.69 eV/atom
Symmetry = No. 47


Compound: Re2PBr
Source: the Alexandria database
Functional: SCAN
Structure: single point on PBEsol structure

```
Re2PBr
1.0
1.475 -2.532 0.000
1.475 2.532 0.000
0.000 0.000 8.310
Re P Br
2 1 1
direct
0.000 0.000 0.216
0.000 0.000 0.784
0.500 0.500 0.000
0.500 0.500 0.500
```

Calculated values
Fermi-level density of states = 3.8 states/eV/cell
Formation energy without anion corrections = 0.9672 eV per atom
Symmetry = No. 65


Compound: Tc5Os
Source: the Alexandria database
Functional: SCAN
Structure: single point on PBEsol structure

```
Tc5Os
1.0
4.342 0.000 0.000
0.000 1.359 7.091
0.000 -1.359 7.091
Tc Os
5 1
direct
0.000 0.000 0.000
0.000 0.332 0.332
0.500 0.222 0.222
0.500 0.555 0.555
0.500 0.889 0.889
0.000 0.666 0.666
```

Calculated values
Fermi-level density of states = 4.8 states/eV/cell
Formation enthalpy at 0 K = -0.05 eV/atom
Symmetry = No. 38


Compound: Sr2GeRhN
Source: the Alexandria database
Functional: SCAN
Structure: single point on PBEsol structure

```
Sr2GeRhN
1.0
5.827 0.000 0.000
0.000 5.827 0.000
0.000 0.000 4.431
Sr Ge Rh N
2 1 1 1
direct
0.000 0.500 0.000
0.500 0.000 0.000
0.000 0.000 0.000
0.000 0.000 0.500
0.500 0.500 0.500
```

Calculated values
Fermi-level density of states = 3.3 states/eV/cell
Formation energy without anion corrections = 0.5001 eV per atom
Symmetry = No. 123


Compound: OsPbAu2
Source: the Alexandria database
Functional: SCAN
Structure: single point on PBEsol structure

```
OsPbAu2
1.0
3.092 0.000 0.000
0.000 4.657 0.000
0.000 0.000 4.997
Os Pb Au
1 1 2
direct
0.000 0.000 0.000
0.000 0.500 0.648
0.500 0.000 0.472
0.500 0.500 0.128
```

Calculated values
Fermi-level density of states = 2.2 states/eV/cell
Formation enthalpy at 0 K = 0.71 eV/atom
Symmetry = No. 25


Compound: Al2O3
Source: the Alexandria database
Functional: SCAN
Structure: single point on PBEsol structure

```
Al2O3
1.0
1.509 0.871 5.772
-1.509 0.871 5.772
0.000 -1.742 5.772
Al O
2 3
direct
0.000 0.000 0.000
0.500 0.500 0.500
0.165 0.165 0.165
0.386 0.386 0.386
0.611 0.611 0.611
```

Calculated values
Fermi-level density of states = 0.0 states/eV/cell
Formation energy without anion corrections = -3.2607 eV per atom
Symmetry = No. 160


Compound: AlFeIr2
Source: the Alexandria database
Functional: SCAN
Structure: single point on PBEsol structure

```
AlFeIr2
1.0
1.352 0.781 8.354
-1.352 0.781 8.354
0.000 -1.561 8.354
Al Fe Ir
1 1 2
direct
0.000 0.000 0.000
0.746 0.746 0.746
0.251 0.251 0.251
0.493 0.493 0.493
```

Calculated values
Fermi-level density of states = 2.6 states/eV/cell
Formation enthalpy at 0 K = -0.27 eV/atom
Symmetry = No. 160


Compound: Hf2CoTc
Source: the Alexandria database
Functional: SCAN
Structure: single point on PBEsol structure

```
Hf2CoTc
1.0
0.000 3.163 3.163
3.163 0.000 3.163
3.163 3.163 0.000
Hf Co Tc
2 1 1
direct
0.250 0.250 0.250
0.750 0.750 0.750
0.000 0.000 0.000
0.500 0.500 0.500
```

Calculated values
Fermi-level density of states = 1.5 states/eV/cell
Formation enthalpy at 0 K = -0.56 eV/atom
Symmetry = No. 225


Compound: Ca2InRh
Source: the Alexandria database
Functional: SCAN
Structure: single point on PBEsol structure

```
Ca2InRh
1.0
4.363 0.000 0.000
0.000 2.112 5.517
0.000 -2.112 5.517
Ca In Rh
2 1 1
direct
0.000 0.000 0.000
0.500 0.290 0.290
0.000 0.707 0.707
0.500 0.574 0.574
```

Calculated values
Fermi-level density of states = 2.4 states/eV/cell
Formation enthalpy at 0 K = -0.46 eV/atom
Symmetry = No. 38


Compound: Li2BeCl
Source: the Alexandria database
Functional: SCAN
Structure: single point on PBEsol structure

```
Li2BeCl
1.0
4.409 0.000 0.000
0.000 4.409 0.000
0.000 0.000 3.103
Li Be Cl
2 1 1
direct
0.000 0.500 0.000
0.500 0.000 0.000
0.000 0.000 0.500
0.500 0.500 0.500
```

Calculated values
Fermi-level density of states = 1.5 states/eV/cell
Formation energy without anion corrections = -0.2136 eV per atom
Symmetry = No. 123


Compound: AuIO2F
Source: the Alexandria database
Functional: SCAN
Structure: single point on PBEsol structure

```
AuIO2F
1.0
4.249 0.000 0.000
0.000 4.249 0.000
0.000 0.000 4.329
Au I O F
1 1 2 1
direct
0.000 0.000 0.000
0.500 0.500 0.000
0.000 0.500 0.500
0.500 0.000 0.500
0.500 0.500 0.500
```

Calculated values
Fermi-level density of states = 3.6 states/eV/cell
Formation energy without anion corrections = 0.9484 eV per atom
Symmetry = No. 123


Compound: LaTc2Se
Source: the Alexandria database
Functional: SCAN
Structure: single point on PBEsol structure

```
LaTc2Se
1.0
3.712 0.000 0.000
0.000 3.919 0.000
-0.583 0.000 5.620
La Tc Se
1 2 1
direct
0.000 0.000 0.000
0.060 0.500 0.558
0.432 0.000 0.552
0.535 0.500 0.253
```

Calculated values
Fermi-level density of states = 2.7 states/eV/cell
Formation energy without anion corrections = -0.2253 eV per atom
Symmetry = No. 6


Compound: SrSbPdO2
Source: the Alexandria database
Functional: SCAN
Structure: single point on PBEsol structure

```
SrSbPdO2
1.0
4.236 0.000 0.000
0.000 4.236 0.000
0.000 0.000 5.240
Sr Sb Pd O
1 1 1 2
direct
0.000 0.000 0.000
0.500 0.500 0.000
0.000 0.000 0.500
0.000 0.500 0.500
0.500 0.000 0.500
```

Calculated values
Fermi-level density of states = 4.2 states/eV/cell
Formation energy without anion corrections = 0.0335 eV per atom
Symmetry = No. 123


Compound: Si3Os2
Source: the Alexandria database
Functional: SCAN
Structure: single point on PBEsol structure

```
Si3Os2
1.0
5.604 0.000 0.000
0.000 5.604 0.000
0.000 0.000 8.863
Si Os
12 8
direct
0.144 0.294 0.410
0.144 0.706 0.910
0.294 0.144 0.090
0.294 0.856 0.590
0.332 0.332 0.750
0.332 0.668 0.250
0.668 0.332 0.250
0.668 0.668 0.750
0.706 0.144 0.590
0.706 0.856 0.090
0.856 0.294 0.910
0.856 0.706 0.410
0.000 0.000 0.250
0.000 0.000 0.750
0.000 0.500 0.129
0.000 0.500 0.629
0.500 0.000 0.371
0.500 0.000 0.871
0.500 0.500 0.000
0.500 0.500 0.500
```

Calculated values
Formation energy without anion corrections = -0.4530 eV per atom
Symmetry = No. 116


Compound: SiAgPb2
Source: the Alexandria database
Functional: SCAN
Structure: single point on PBEsol structure

```
SiAgPb2
1.0
3.390 0.000 0.000
0.000 3.390 0.000
0.000 0.000 7.920
Si Ag Pb
1 1 2
direct
0.000 0.000 0.000
0.000 0.000 0.500
0.500 0.500 0.251
0.500 0.500 0.749
```

Calculated values
Fermi-level density of states = 1.6 states/eV/cell
Formation energy without anion corrections = 0.4325 eV per atom
Symmetry = No. 123


Number 1: E_tot -11.54 eV/atom. Number 2: E_tot -8.82 eV/atom. Number 3: E_tot -36.44 eV/atom. Number 4: E_tot -8.93 eV/atom. Number 5: E_tot -15.49 eV/atom. Number 6: E_tot -21.38 eV/atom. Number 7: E_tot -42.05 eV/atom. Number 8: E_tot -41.25 eV/atom. Number 9: E_tot -20.84 eV/atom. Number 10: E_tot -70.78 eV/atom. Number 11: E_tot -10.10 eV/atom. Number 12: E_tot -42.29 eV/atom. Number 13: E_tot -44.99 eV/atom. Number 14: E_tot -22.08 eV/atom. Number 15: E_tot -4.49 eV/atom. Number 16: E_tot -23.43 eV/atom. Number 17: E_tot -33.55 eV/atom. Number 18: E_tot -20.92 eV/atom. Number 19: E_tot -35.21 eV/atom. Number 20: E_tot -47.80 eV/atom.